[1]
A relaxed LiLaLuAu crystal. Source: OQMD via LeMat-Bulk, functional PBE.

The structure in POSCAR format:
```
LiLaLuAu
1.0
-4.754 0.934 1.862
-3.577 2.240 -3.021
-4.047 -2.761 -1.713
La Li Lu Au
1 1 1 1
Direct
0.500 0.500 0.500
0.250 0.250 0.250
0.000 0.000 0.000
0.750 0.750 0.750
```

**Calculated total energy**: -16.1 eV per cell
**Distance to the lowest polymorph of the same formula**: 0.000 eV/atom
**Spin magnetization**: 0.0 μB/cell
**Space group**: F-43m (216)

[2]
A relaxed LiLaLuAu crystal. Source: OQMD via LeMat-Bulk, functional PBE.

The structure in POSCAR format:
```
LiLaLuAu
1.0
-0.436 -1.962 4.601
-4.442 -1.723 1.584
-0.721 -4.936 0.566
Li La Lu Au
1 1 1 1
Direct
0.500 0.500 0.500
0.250 0.250 0.250
0.000 0.000 0.000
0.750 0.750 0.750
```

**Calculated total energy**: -15.7 eV per cell
**Distance to the lowest polymorph of the same formula**: 0.097 eV/atom
**Spin magnetization**: 0.0 μB/cell
**Space group**: F-43m (216)

[3]
A relaxed LiLaAu2O crystal. Source: OQMD via LeMat-Bulk, functional PBE.

The structure in POSCAR format:
```
LiLaAu2O
1.0
-1.693 1.693 7.953
1.693 -1.693 7.953
1.693 1.693 -7.953
Au Li La O
2 1 1 1
Direct
0.625 0.625 0.000
0.375 0.375 0.000
0.750 0.250 0.500
0.000 0.000 0.000
0.250 0.750 0.500
```

**Calculated total energy**: -21.8 eV per cell
**Spin magnetization**: 0.0 μB/cell
**Space group**: I-4m2 (119)

[4]
A relaxed LiLa4AuO8 crystal. Source: OQMD via LeMat-Bulk, functional PBE.

The structure in POSCAR format:
```
LiLa4AuO8
1.0
-6.712 2.318 -0.645
2.544 2.205 4.252
1.708 4.073 -3.135
La O Li Au
4 8 1 1
Direct
0.715 0.858 0.500
0.275 0.637 0.000
0.725 0.363 0.000
0.285 0.142 0.500
0.391 0.195 0.000
0.609 0.805 0.000
0.000 0.745 0.259
0.366 0.683 0.500
0.000 0.255 0.741
0.000 0.745 0.741
0.634 0.317 0.500
0.000 0.255 0.259
0.000 0.500 0.500
0.000 0.000 0.000
```

**Calculated total energy**: -100.7 eV per cell
**Distance to the lowest polymorph of the same formula**: 0.000 eV/atom
**Spin magnetization**: 0.0 μB/cell
**Space group**: Cmmm (65)

[5]
A relaxed LiLa4AuO8 crystal. Source: OQMD via LeMat-Bulk, functional PBE.

The structure in POSCAR format:
```
LiLa4AuO8
1.0
-2.920 -0.739 5.323
-0.717 5.503 0.370
-7.884 -0.963 -0.945
La O Li Au
4 8 1 1
Direct
0.320 0.000 0.359
0.112 0.000 0.776
0.888 0.000 0.224
0.680 0.000 0.641
0.782 0.219 0.000
0.218 0.219 0.000
0.000 0.225 0.500
0.218 0.781 0.000
0.782 0.781 0.000
0.000 0.775 0.500
0.500 0.775 0.500
0.500 0.225 0.500
0.500 0.000 0.000
0.000 0.500 0.000
```

**Calculated total energy**: -91.4 eV per cell
**Distance to the lowest polymorph of the same formula**: 0.666 eV/atom
**Spin magnetization**: 0.1 μB/cell
**Space group**: Cmmm (65)

[6]
A relaxed LiLaSbAu crystal. Source: OQMD via LeMat-Bulk, functional PBE.

The structure in POSCAR format:
```
LiLaSbAu
1.0
-1.428 -3.356 3.600
-3.647 1.257 3.373
-4.607 -2.229 -0.258
Li Sb La Au
1 1 1 1
Direct
0.750 0.750 0.750
0.250 0.250 0.250
0.500 0.500 0.500
0.000 0.000 0.000
```

**Calculated total energy**: -16.0 eV per cell
**Distance to the lowest polymorph of the same formula**: 0.352 eV/atom
**Spin magnetization**: 0.0 μB/cell
**Space group**: F-43m (216)

[7]
A relaxed LiLaSbAu crystal. Source: OQMD via LeMat-Bulk, functional PBE.

The structure in POSCAR format:
```
LiLaSbAu
1.0
0.000 3.594 3.594
3.594 0.000 3.594
3.594 3.594 0.000
Li Au Sb La
1 1 1 1
Direct
0.750 0.750 0.750
0.250 0.250 0.250
0.500 0.500 0.500
0.000 0.000 0.000
```

**Calculated total energy**: -16.7 eV per cell
**Distance to the lowest polymorph of the same formula**: 0.168 eV/atom
**Spin magnetization**: 0.0 μB/cell
**Space group**: F-43m (216)

[8]
A relaxed LiLaSbAu crystal. Source: OQMD via LeMat-Bulk, functional PBE.

The structure in POSCAR format:
```
LiLaSbAu
1.0
0.000 3.688 3.688
3.688 0.000 3.688
3.688 3.688 0.000
La Au Sb Li
1 1 1 1
Direct
0.250 0.250 0.250
0.000 0.000 0.000
0.500 0.500 0.500
0.750 0.750 0.750
```

**Calculated total energy**: -17.4 eV per cell
**Distance to the lowest polymorph of the same formula**: 0.000 eV/atom
**Spin magnetization**: 0.0 μB/cell
**Space group**: F-43m (216)

[9]
A relaxed Li2LaSiAu crystal. Source: OQMD via LeMat-Bulk, functional PBE.

The structure in POSCAR format:
```
Li2LaSiAu
1.0
-2.189 5.790 2.179
-5.787 1.161 2.868
5.189 -4.015 0.118
Li Si Au La
2 1 1 1
Direct
0.742 0.242 0.500
0.242 0.742 0.500
0.609 0.609 0.000
0.389 0.389 0.000
0.018 0.018 0.000
```

**Calculated total energy**: -20.0 eV per cell
**Spin magnetization**: 0.0 μB/cell
**Space group**: I4mm (107)

[10]
A relaxed LiLaSiAu2 crystal. Source: OQMD via LeMat-Bulk, functional PBE.

The structure in POSCAR format:
```
LiLaSiAu2
1.0
4.674 -2.708 2.664
-0.564 -1.432 5.823
-3.216 -0.718 -5.042
Au Si Li La
2 1 1 1
Direct
0.884 0.384 0.500
0.616 0.116 0.500
0.500 0.500 0.000
0.000 0.000 0.000
0.250 0.750 0.500
```

**Calculated total energy**: -22.2 eV per cell
**Spin magnetization**: 0.0 μB/cell
**Space group**: I-4m2 (119)